[1]
The following is a PBEsol calculation of a relaxed structure of BaHIr, from Alexandria via LeMat-Bulk.

## Properties
E_tot in eV per atom: -5.353
Spin magnetization in μB per cell: 0.00

```
BaHIr
1.0
4.259 0.000 0.000
0.000 4.600 -0.004
0.000 -2.301 6.809
H Ir Ba
2 2 2
direct
0.250 0.178 0.334
0.750 0.822 0.666
0.250 0.045 0.086
0.750 0.955 0.914
0.750 0.632 0.261
0.250 0.368 0.739
```

***

[2]
The following is a PBEsol calculation of a relaxed structure of BaH2Ir, from Alexandria via LeMat-Bulk.

## Properties
E_tot in eV per atom: -3.958
Spin magnetization in μB per cell: 0.00

```
BaH2Ir
1.0
-3.642 -2.361 -0.528
-0.670 -2.180 -3.731
0.213 -4.367 -0.049
H Ir Ba
2 1 1
direct
0.250 0.250 0.250
0.750 0.750 0.750
0.500 0.500 0.500
0.000 0.000 0.000
```